<P>
The following is a DFT calculation (GGA-PBE) of crystalline SrH2Pb2 at its relaxed geometry.

Output
**Crystal system**: tetragonal
**Total moment**: 0.00 μB/cell
**Space group**: P4/mbm (127)

abc: 6.7679 6.7679 4.9505
angles: 90.00 90.00 90.00
Sites, in units of the cell vectors:
Sr 0.0000 0.0000 0.0000
Sr 0.5000 0.5000 0.0000
H 0.1915 0.3085 0.0000
H 0.3085 0.8085 0.0000
H 0.6915 0.1915 0.0000
H 0.8085 0.6915 0.0000
Pb 0.1755 0.3245 0.5000
Pb 0.3245 0.8245 0.5000
Pb 0.6755 0.1755 0.5000
Pb 0.8245 0.6755 0.5000


<Q>
The following is a DFT calculation (GGA-PBE) of crystalline SrH2Pb2 at its relaxed geometry.

Output
**Crystal system**: tetragonal
**Total moment**: 0.00 μB/cell
**Space group**: I4/mmm (139)

abc: 6.3123 6.3123 6.3123
angles: 138.10 138.10 60.75
Sites, in units of the cell vectors:
Sr 0.0000 0.0000 0.0000
H 0.2500 0.7500 0.5000
H 0.7500 0.2500 0.5000
Pb 0.3370 0.3370 0.0000
Pb 0.6630 0.6630 0.0000


<P> (349 meV per atom below the next structure)